Record 1
# La12SmEr3, optimized geometry, DFT PBE
data_La12SmEr3
_symmetry_space_group_name_H-M 'P 1'
_symmetry_Int_Tables_number 1
_cell_length_a 5.203
_cell_length_b 5.203
_cell_length_c 20.810
_cell_angle_alpha 90.00
_cell_angle_beta 90.00
_cell_angle_gamma 90.00
loop_
_symmetry_equiv_pos_as_xyz
'x,y,z'
loop_
_atom_site_label
_atom_site_type_symbol
_atom_site_fract_x
_atom_site_fract_y
_atom_site_fract_z
La1 La 0.500 0.500 0.000
La2 La 0.500 0.500 0.251
La3 La 0.500 0.500 0.500
La4 La 0.500 0.500 0.749
La5 La 0.500 0.000 0.126
La6 La 0.500 0.000 0.375
La7 La 0.500 0.000 0.625
La8 La 0.500 0.000 0.874
La9 La 0.000 0.500 0.126
La10 La 0.000 0.500 0.375
La11 La 0.000 0.500 0.625
La12 La 0.000 0.500 0.874
Sm1 Sm 0.000 0.000 0.000
Er1 Er 0.000 0.000 0.251
Er2 Er 0.000 0.000 0.500
Er3 Er 0.000 0.000 0.749
# Fermi-level density of states, states/eV per atom: 1.368
# Raw total energy, eV per atom: -4.84
# Crystal system: tetragonal
# ΔH_f (0 K), kJ per mole of atoms: 0.75

***

Record 2
# BiMoRu2, optimized geometry, DFT PBE
data_BiMoRu2
_symmetry_space_group_name_H-M 'P 1'
_symmetry_Int_Tables_number 1
_cell_length_a 5.822
_cell_length_b 5.822
_cell_length_c 7.120
_cell_angle_alpha 65.87
_cell_angle_beta 65.87
_cell_angle_gamma 90.00
loop_
_symmetry_equiv_pos_as_xyz
'x,y,z'
loop_
_atom_site_label
_atom_site_type_symbol
_atom_site_fract_x
_atom_site_fract_y
_atom_site_fract_z
Ru1 Ru 0.586 0.125 0.250
Ru2 Ru 0.164 0.625 0.250
Ru3 Ru 0.375 0.414 0.750
Ru4 Ru 0.875 0.836 0.750
Mo1 Mo 0.500 0.500 0.000
Mo2 Mo 0.250 0.750 0.500
Bi1 Bi 0.000 0.000 0.000
Bi2 Bi 0.750 0.250 0.500
# Fermi-level density of states, states/eV per atom: 0.734
# Raw total energy, eV per atom: -7.32
# Crystal system: tetragonal
# ΔH_f (0 K), kJ per mole of atoms: 96.47

***

Record 3
# SrMoIr3, optimized geometry, DFT PBE
data_SrMoIr3
_symmetry_space_group_name_H-M 'P 1'
_symmetry_Int_Tables_number 1
_cell_length_a 4.793
_cell_length_b 4.793
_cell_length_c 4.793
_cell_angle_alpha 90.00
_cell_angle_beta 90.00
_cell_angle_gamma 90.00
loop_
_symmetry_equiv_pos_as_xyz
'x,y,z'
loop_
_atom_site_label
_atom_site_type_symbol
_atom_site_fract_x
_atom_site_fract_y
_atom_site_fract_z
Sr1 Sr 0.000 0.000 0.000
Mo1 Mo 0.500 0.500 0.500
Ir1 Ir 0.000 0.500 0.000
Ir2 Ir 0.000 0.000 0.500
Ir3 Ir 0.500 0.000 0.000
# Fermi-level density of states, states/eV per atom: 2.082
# Raw total energy, eV per atom: -4.72
# Energy above the most stable polymorph in this dataset, eV/f.u.: 11.95
# Crystal system: cubic
# ΔH_f (0 K), kJ per mole of atoms: 298.62

***

Record 4
# SmTmSnAu, optimized geometry, DFT PBE
data_SmTmSnAu
_symmetry_space_group_name_H-M 'P 1'
_symmetry_Int_Tables_number 1
_cell_length_a 5.241
_cell_length_b 5.241
_cell_length_c 5.241
_cell_angle_alpha 60.00
_cell_angle_beta 60.00
_cell_angle_gamma 60.00
loop_
_symmetry_equiv_pos_as_xyz
'x,y,z'
loop_
_atom_site_label
_atom_site_type_symbol
_atom_site_fract_x
_atom_site_fract_y
_atom_site_fract_z
Tm1 Tm 0.500 0.500 0.500
Au1 Au 0.250 0.250 0.250
Sn1 Sn 0.750 0.750 0.750
Sm1 Sm 0.000 0.000 0.000
# Fermi-level density of states, states/eV per atom: 0.952
# Raw total energy, eV per atom: -4.82
# Crystal system: cubic
# ΔH_f (0 K), kJ per mole of atoms: -67.36

***

Record 5
# LiPm4Ir, optimized geometry, DFT PBE
data_LiPm4Ir
_symmetry_space_group_name_H-M 'P 1'
_symmetry_Int_Tables_number 1
_cell_length_a 8.074
_cell_length_b 8.074
_cell_length_c 8.074
_cell_angle_alpha 110.30
_cell_angle_beta 110.30
_cell_angle_gamma 107.82
loop_
_symmetry_equiv_pos_as_xyz
'x,y,z'
loop_
_atom_site_label
_atom_site_type_symbol
_atom_site_fract_x
_atom_site_fract_y
_atom_site_fract_z
Li1 Li 0.252 0.252 0.000
Li2 Li 0.002 0.502 0.500
Pm1 Pm 0.272 0.963 0.691
Pm2 Pm 0.729 0.427 0.698
Pm3 Pm 0.713 0.522 0.191
Pm4 Pm 0.177 0.979 0.198
Pm5 Pm 0.331 0.522 0.809
Pm6 Pm 0.781 0.979 0.802
Pm7 Pm 0.729 0.031 0.302
Pm8 Pm 0.272 0.581 0.309
Ir1 Ir 0.747 0.747 0.000
Ir2 Ir 0.497 0.997 0.500
# Fermi-level density of states, states/eV per atom: 1.490
# Raw total energy, eV per atom: -4.95
# Crystal system: tetragonal
# ΔH_f (0 K), kJ per mole of atoms: 1.56

***

Record 6
# Sr2NiAs3Pt4, optimized geometry, DFT PBE
data_Sr2NiAs3Pt4
_symmetry_space_group_name_H-M 'P 1'
_symmetry_Int_Tables_number 1
_cell_length_a 4.463
_cell_length_b 4.463
_cell_length_c 9.950
_cell_angle_alpha 90.00
_cell_angle_beta 90.00
_cell_angle_gamma 90.00
loop_
_symmetry_equiv_pos_as_xyz
'x,y,z'
loop_
_atom_site_label
_atom_site_type_symbol
_atom_site_fract_x
_atom_site_fract_y
_atom_site_fract_z
Sr1 Sr 0.500 0.000 0.257
Sr2 Sr 0.000 0.500 0.743
Ni1 Ni 0.500 0.500 0.500
As1 As 0.000 0.000 0.500
As2 As 0.500 0.000 0.869
As3 As 0.000 0.500 0.131
Pt1 Pt 0.500 0.500 0.000
Pt2 Pt 0.000 0.000 0.000
Pt3 Pt 0.500 0.000 0.618
Pt4 Pt 0.000 0.500 0.382
# Fermi-level density of states, states/eV per atom: 0.741
# Raw total energy, eV per atom: -5.41
# Crystal system: tetragonal
# ΔH_f (0 K), kJ per mole of atoms: -65.79

***

Record 7
# Mg2Nb2Si, optimized geometry, DFT PBE
data_Mg2Nb2Si
_symmetry_space_group_name_H-M 'P 1'
_symmetry_Int_Tables_number 1
_cell_length_a 3.664
_cell_length_b 3.664
_cell_length_c 7.661
_cell_angle_alpha 76.16
_cell_angle_beta 76.16
_cell_angle_gamma 90.00
loop_
_symmetry_equiv_pos_as_xyz
'x,y,z'
loop_
_atom_site_label
_atom_site_type_symbol
_atom_site_fract_x
_atom_site_fract_y
_atom_site_fract_z
Mg1 Mg 0.750 0.250 0.500
Mg2 Mg 0.250 0.750 0.500
Nb1 Nb 0.417 0.417 0.165
Nb2 Nb 0.583 0.583 0.835
Si1 Si 0.000 0.000 0.000
# Fermi-level density of states, states/eV per atom: 0.506
# Uncorrected formation energy, eV per atom: 0.447
# Raw total energy, eV per atom: -5.30
# Energy above the most stable polymorph in this dataset, eV/f.u.: 1.68
# Crystal system: tetragonal

***

Record 8
# MnSb2Se, optimized geometry, DFT PBE
data_MnSb2Se
_symmetry_space_group_name_H-M 'P 1'
_symmetry_Int_Tables_number 1
_cell_length_a 3.506
_cell_length_b 3.506
_cell_length_c 6.955
_cell_angle_alpha 90.00
_cell_angle_beta 90.00
_cell_angle_gamma 90.00
loop_
_symmetry_equiv_pos_as_xyz
'x,y,z'
loop_
_atom_site_label
_atom_site_type_symbol
_atom_site_fract_x
_atom_site_fract_y
_atom_site_fract_z
Mn1 Mn 0.500 0.500 0.750
Sb1 Sb 0.000 0.000 0.969
Sb2 Sb 0.000 0.000 0.531
Se1 Se 0.500 0.500 0.250
# Fermi-level density of states, states/eV per atom: 0.629
# Uncorrected formation energy, eV per atom: 0.188
# Raw total energy, eV per atom: -5.04
# Crystal system: tetragonal

***

Record 9
# TiN2OF, optimized geometry, DFT PBE
data_TiN2OF
_symmetry_space_group_name_H-M 'P 1'
_symmetry_Int_Tables_number 1
_cell_length_a 3.549
_cell_length_b 3.549
_cell_length_c 3.589
_cell_angle_alpha 90.00
_cell_angle_beta 90.00
_cell_angle_gamma 90.00
loop_
_symmetry_equiv_pos_as_xyz
'x,y,z'
loop_
_atom_site_label
_atom_site_type_symbol
_atom_site_fract_x
_atom_site_fract_y
_atom_site_fract_z
N1 N 0.000 0.500 0.000
N2 N 0.500 0.000 0.000
F1 F 0.000 0.000 0.500
O1 O 0.000 0.000 0.000
Ti1 Ti 0.500 0.500 0.500
# Fermi-level density of states, states/eV per atom: 0.377
# Uncorrected formation energy, eV per atom: 0.898
# Raw total energy, eV per atom: -5.38
# Crystal system: tetragonal

***

Record 10
# CsTe2SI, optimized geometry, DFT PBE
data_CsTe2SI
_symmetry_space_group_name_H-M 'P 1'
_symmetry_Int_Tables_number 1
_cell_length_a 5.529
_cell_length_b 5.529
_cell_length_c 5.871
_cell_angle_alpha 90.00
_cell_angle_beta 90.00
_cell_angle_gamma 90.00
loop_
_symmetry_equiv_pos_as_xyz
'x,y,z'
loop_
_atom_site_label
_atom_site_type_symbol
_atom_site_fract_x
_atom_site_fract_y
_atom_site_fract_z
Cs1 Cs 0.500 0.500 0.500
I1 I 0.000 0.000 0.500
S1 S 0.000 0.000 0.000
Te1 Te 0.000 0.500 0.000
Te2 Te 0.500 0.000 0.000
# Fermi-level density of states, states/eV per atom: 1.331
# Uncorrected formation energy, eV per atom: -0.179
# Raw total energy, eV per atom: -2.74
# Crystal system: tetragonal

***

Record 11
# AcSm4Mg5, optimized geometry, DFT PBE
data_AcSm4Mg5
_symmetry_space_group_name_H-M 'P 1'
_symmetry_Int_Tables_number 1
_cell_length_a 3.897
_cell_length_b 3.897
_cell_length_c 19.580
_cell_angle_alpha 90.00
_cell_angle_beta 90.00
_cell_angle_gamma 90.00
loop_
_symmetry_equiv_pos_as_xyz
'x,y,z'
loop_
_atom_site_label
_atom_site_type_symbol
_atom_site_fract_x
_atom_site_fract_y
_atom_site_fract_z
Ac1 Ac 0.000 0.000 0.000
Sm1 Sm 0.000 0.000 0.210
Sm2 Sm 0.000 0.000 0.403
Sm3 Sm 0.000 0.000 0.597
Sm4 Sm 0.000 0.000 0.790
Mg1 Mg 0.500 0.500 0.115
Mg2 Mg 0.500 0.500 0.306
Mg3 Mg 0.500 0.500 0.500
Mg4 Mg 0.500 0.500 0.694
Mg5 Mg 0.500 0.500 0.885
# Fermi-level density of states, states/eV per atom: 1.169
# Raw total energy, eV per atom: -3.19
# Crystal system: tetragonal
# ΔH_f (0 K), kJ per mole of atoms: -8.94

***

Record 12
# EuHoPuMg, optimized geometry, DFT PBE
data_EuHoPuMg
_symmetry_space_group_name_H-M 'P 1'
_symmetry_Int_Tables_number 1
_cell_length_a 5.550
_cell_length_b 5.550
_cell_length_c 5.550
_cell_angle_alpha 60.00
_cell_angle_beta 60.00
_cell_angle_gamma 60.00
loop_
_symmetry_equiv_pos_as_xyz
'x,y,z'
loop_
_atom_site_label
_atom_site_type_symbol
_atom_site_fract_x
_atom_site_fract_y
_atom_site_fract_z
Eu1 Eu 0.000 0.000 0.000
Mg1 Mg 0.750 0.750 0.750
Ho1 Ho 0.500 0.500 0.500
Pu1 Pu 0.250 0.250 0.250
# Fermi-level density of states, states/eV per atom: 3.242
# Raw total energy, eV per atom: -7.50
# Crystal system: cubic
# ΔH_f (0 K), kJ per mole of atoms: 18.76